[1]
Crystalline SrGa3N at its relaxed geometry, computed with PBE.

Values from the calculation:
- density (Mg/m³) = 2.60
- volume (Å³/atom) = 39.66
- E above lowest polymorph (meV per atom) = 1680
- uncorrected energy (eV per atom) = -1.800
- ΔE_f (raw) (eV/atom) = 2.0181

Unit cell a=5.8313 b=5.8313 c=5.8313 alpha=90.00 beta=90.00 gamma=90.00
Space group Pm-3m (No. 221)
Inequivalent atoms, fractional coordinates:
Sr 0.0000 0.0000 0.0000
Ga 0.0000 0.0000 0.5000
N 0.5000 0.5000 0.5000

=====

[2]
Crystalline TaTi2Zn2Rh2 at its relaxed geometry, computed with PBE.

Values from the calculation:
- DFT formation energy (meV/atom) = -349
- density (Mg/m³) = 8.95
- volume (Å³/atom) = 16.25
- uncorrected energy (eV per atom) = -6.762

Unit cell a=7.6302 b=4.3959 c=7.2430 alpha=90.00 beta=110.57 gamma=90.00
Space group C2/m (No. 12)
Inequivalent atoms, fractional coordinates:
Ta 0.0000 0.0000 0.0000
Ti 0.1054 0.5000 0.8181
Zn 0.1370 0.0000 0.4099
Rh 0.2375 0.5000 0.2122

=====

[3]
Crystalline RbBaAl3 at its relaxed geometry, computed with PBE.

Values from the calculation:
- DFT formation energy (meV/atom) = 986
- density (Mg/m³) = 2.07
- volume (Å³/atom) = 48.63
- E above lowest polymorph (meV per atom) = 0
- uncorrected energy (eV per atom) = -1.838

Unit cell a=6.2417 b=6.2417 c=6.2417 alpha=90.00 beta=90.00 gamma=90.00
Space group Pm-3m (No. 221)
Inequivalent atoms, fractional coordinates:
Rb 0.0000 0.0000 0.0000
Ba 0.5000 0.5000 0.5000
Al 0.0000 0.5000 0.5000

=====

[4]
Crystalline CdIn2Tc at its relaxed geometry, computed with PBE.

Values from the calculation:
- DFT formation energy (meV/atom) = 302
- density (Mg/m³) = 9.05
- volume (Å³/atom) = 20.18
- uncorrected energy (eV per atom) = -3.887

Unit cell a=3.7110 b=3.7110 c=5.8623 alpha=90.00 beta=90.00 gamma=90.00
Space group P4mm (No. 99)
Inequivalent atoms, fractional coordinates:
Cd 0.0000 0.0000 0.0000
In 0.0000 0.0000 0.5345
In 0.5000 0.5000 0.2470
Tc 0.5000 0.5000 0.7439

=====

[5]
Crystalline CaGdIn2 at its relaxed geometry, computed with PBE.

Values from the calculation:
- DFT formation energy (meV/atom) = -467
- density (Mg/m³) = 6.34
- volume (Å³/atom) = 27.94
- E above lowest polymorph (meV per atom) = 20
- uncorrected energy (eV per atom) = -5.857

Unit cell a=7.6459 b=7.6459 c=7.6459 alpha=90.00 beta=90.00 gamma=90.00
Space group Fm-3m (No. 225)
Inequivalent atoms, fractional coordinates:
Ca 0.0000 0.0000 0.0000
Gd 0.0000 0.0000 0.5000
In 0.2500 0.2500 0.2500

=====

[6]
Crystalline Dy6Cu5Pt at its relaxed geometry, computed with PBE.

Values from the calculation:
- DFT formation energy (meV/atom) = -430
- density (Mg/m³) = 9.81
- volume (Å³/atom) = 20.98
- uncorrected energy (eV per atom) = -4.941

Unit cell a=4.9043 b=14.7810 c=6.9469 alpha=90.00 beta=90.00 gamma=90.00
Space group Cmmm (No. 65)
Inequivalent atoms, fractional coordinates:
Dy 0.0000 0.0000 0.2480
Dy 0.0000 0.3346 0.2502
Cu 0.0000 0.1646 0.5000
Cu 0.0000 0.1736 0.0000
Cu 0.0000 0.5000 0.5000
Pt 0.0000 0.5000 0.0000

=====

[7]
Crystalline LaTlPS2 at its relaxed geometry, computed with PBE.

Values from the calculation:
- density (Mg/m³) = 4.05
- volume (Å³/atom) = 35.94
- E above lowest polymorph (meV per atom) = 0
- uncorrected energy (eV per atom) = -4.423
- ΔE_f (raw) (eV/atom) = -0.2317

Unit cell a=5.5466 b=5.5466 c=5.8412 alpha=90.00 beta=90.00 gamma=90.00
Space group P4/mmm (No. 123)
Inequivalent atoms, fractional coordinates:
La 0.0000 0.0000 0.0000
Tl 0.5000 0.5000 0.5000
P 0.0000 0.0000 0.5000
S 0.0000 0.5000 0.0000

=====

[8]
Crystalline Ba2HgRhO at its relaxed geometry, computed with PBE.

Values from the calculation:
- density (Mg/m³) = 7.50
- volume (Å³/atom) = 26.32
- uncorrected energy (eV per atom) = -4.204
- ΔE_f (raw) (eV/atom) = -0.9122

Unit cell a=5.6682 b=5.6682 c=4.0964 alpha=90.00 beta=90.00 gamma=90.00
Space group P4/mmm (No. 123)
Inequivalent atoms, fractional coordinates:
Ba 0.0000 0.5000 0.0000
Hg 0.0000 0.0000 0.5000
Rh 0.5000 0.5000 0.5000
O 0.5000 0.5000 0.0000

=====

[9]
Crystalline CsNpAsSe4 at its relaxed geometry, computed with PBE.

Values from the calculation:
- density (Mg/m³) = 2.96
- volume (Å³/atom) = 61.03
- uncorrected energy (eV per atom) = -5.018
- ΔE_f (raw) (eV/atom) = -0.3924

Unit cell a=11.9555 b=11.9555 c=11.9555 alpha=90.00 beta=90.00 gamma=90.00
Space group F-43m (No. 216)
Inequivalent atoms, fractional coordinates:
Cs 0.0000 0.0000 0.0000
Np 0.2500 0.2500 0.7500
As 0.0000 0.0000 0.5000
Se 0.1227 0.1227 0.6227

=====

[10]
Crystalline Ti2IrS4 at its relaxed geometry, computed with PBE.

Values from the calculation:
- density (Mg/m³) = 5.93
- volume (Å³/atom) = 16.64
- uncorrected energy (eV per atom) = -6.849
- ΔE_f (raw) (eV/atom) = -0.9684

Unit cell a=7.1408 b=7.9211 c=8.2373 alpha=90.00 beta=90.00 gamma=90.00
Space group Imma (No. 74)
Inequivalent atoms, fractional coordinates:
Ti 0.0000 0.0000 0.0000
Ti 0.2500 0.2500 0.2500
Ir 0.0000 0.2500 0.7363
S 0.0000 0.0467 0.2887
S 0.2317 0.2500 0.9495

=====

[11]
Crystalline LaPm2TmTe5 at its relaxed geometry, computed with PBE.

Values from the calculation:
- density (Mg/m³) = 5.73
- volume (Å³/atom) = 39.76
- uncorrected energy (eV per atom) = -4.734
- ΔE_f (raw) (eV/atom) = -0.8886

Unit cell a=5.4925 b=5.4925 c=11.8614 alpha=90.00 beta=90.00 gamma=90.00
Space group P4/mmm (No. 123)
Inequivalent atoms, fractional coordinates:
La 0.0000 0.0000 0.0000
Pm 0.5000 0.5000 0.3465
Tm 0.0000 0.0000 0.5000
Te 0.0000 0.0000 0.2525
Te 0.0000 0.5000 0.5000
Te 0.5000 0.5000 0.0000

=====

[12]
Crystalline AcHoGa2Au4 at its relaxed geometry, computed with PBE.

Values from the calculation:
- DFT formation energy (meV/atom) = -646
- density (Mg/m³) = 12.20
- volume (Å³/atom) = 22.44
- uncorrected energy (eV per atom) = -4.127

Unit cell a=4.6796 b=4.6796 c=28.4024 alpha=90.00 beta=90.00 gamma=120.00
Space group R-3m (No. 166, hexagonal axes)
Inequivalent atoms, fractional coordinates:
Ac 0.0000 0.0000 0.0000
Ho 0.0000 0.0000 0.5000
Ga 0.0000 0.0000 0.2350
Au 0.0000 0.0000 0.1201
Au 0.0000 0.0000 0.3951

=====

[13]
Crystalline Nd2Ge4Ir3 at its relaxed geometry, computed with PBE.

Values from the calculation:
- DFT formation energy (meV/atom) = -716
- density (Mg/m³) = 11.55
- volume (Å³/atom) = 18.46
- E above lowest polymorph (meV per atom) = 0
- uncorrected energy (eV per atom) = -6.782

Unit cell a=5.7869 b=15.2312 c=7.5403 alpha=90.00 beta=90.00 gamma=90.00
Space group Cmce (No. 64)
Inequivalent atoms, fractional coordinates:
Nd 0.0000 0.1102 0.0912
Ge 0.0000 0.1836 0.4735
Ge 0.2500 0.0588 0.7500
Ir 0.0000 0.0000 0.5000
Ir 0.2500 0.2241 0.7500

=====

[14]
Crystalline CePm2Dy6 at its relaxed geometry, computed with PBE.

Values from the calculation:
- DFT formation energy (meV/atom) = 213
- density (Mg/m³) = 7.93
- volume (Å³/atom) = 32.71
- uncorrected energy (eV per atom) = -4.570

Unit cell a=17.9173 b=9.8461 c=3.3930 alpha=90.00 beta=100.38 gamma=90.00
Space group C2/m (No. 12)
Inequivalent atoms, fractional coordinates:
Ce 0.0000 0.0000 0.0000
Pm 0.1651 0.5000 0.6639
Dy 0.0000 0.3089 0.5000
Dy 0.1658 0.1836 0.1651

=====

[15]
Crystalline Be2C2O at its relaxed geometry, computed with PBE.

Values from the calculation:
- density (Mg/m³) = 2.56
- volume (Å³/atom) = 7.53
- uncorrected energy (eV per atom) = -5.474
- ΔE_f (raw) (eV/atom) = 0.6978

Unit cell a=3.3460 b=3.3460 c=6.7273 alpha=90.00 beta=90.00 gamma=90.00
Space group I4/mmm (No. 139)
Inequivalent atoms, fractional coordinates:
Be 0.0000 0.5000 0.2500
C 0.0000 0.0000 0.1009
O 0.0000 0.0000 0.5000

=====

[16]
Crystalline Zr2GaHg2 at its relaxed geometry, computed with PBE.

Values from the calculation:
- DFT formation energy (meV/atom) = -27
- density (Mg/m³) = 9.47
- volume (Å³/atom) = 22.90
- E above lowest polymorph (meV per atom) = 25
- uncorrected energy (eV per atom) = -4.172

Unit cell a=7.3389 b=7.3389 c=4.2522 alpha=90.00 beta=90.00 gamma=90.00
Space group P4/mbm (No. 127)
Inequivalent atoms, fractional coordinates:
Zr 0.1529 0.3471 0.0000
Ga 0.0000 0.0000 0.0000
Hg 0.1506 0.6506 0.5000

=====

[17]
Crystalline PaFeSn at its relaxed geometry, computed with PBE.

Values from the calculation:
- DFT formation energy (meV/atom) = -354
- density (Mg/m³) = 10.74
- volume (Å³/atom) = 20.91
- uncorrected energy (eV per atom) = -7.675

Unit cell a=6.1059 b=6.1132 c=9.0105 alpha=90.00 beta=131.75 gamma=90.00
Space group P2_1/c (No. 14)
Inequivalent atoms, fractional coordinates:
Pa 0.0989 0.1170 0.3974
Fe 0.1333 0.1257 0.1740
Sn 0.4256 0.6196 0.6144

=====

[18]
Crystalline BaCdBi2Pd2 at its relaxed geometry, computed with PBE.

Values from the calculation:
- DFT formation energy (meV/atom) = -341
- density (Mg/m³) = 8.42
- volume (Å³/atom) = 28.93
- uncorrected energy (eV per atom) = -3.838

Unit cell a=5.0844 b=5.0844 c=6.7146 alpha=90.00 beta=90.00 gamma=90.00
Space group P4/mmm (No. 123)
Inequivalent atoms, fractional coordinates:
Ba 0.0000 0.0000 0.0000
Cd 0.0000 0.0000 0.5000
Bi 0.5000 0.5000 0.2547
Pd 0.0000 0.5000 0.5000

=====

[19]
Crystalline AlSb2Pt at its relaxed geometry, computed with PBE.

Values from the calculation:
- density (Mg/m³) = 8.82
- volume (Å³/atom) = 21.93
- uncorrected energy (eV per atom) = -4.420
- ΔE_f (raw) (eV/atom) = 0.0873

Unit cell a=3.9839 b=5.3787 c=8.1855 alpha=90.00 beta=90.00 gamma=90.00
Space group Immm (No. 71)
Inequivalent atoms, fractional coordinates:
Al 0.0000 0.0000 0.0000
Sb 0.0000 0.5000 0.2342
Pt 0.0000 0.0000 0.5000

=====

[20]
Crystalline Rb12Na3Hg at its relaxed geometry, computed with PBE.

Values from the calculation:
- DFT formation energy (meV/atom) = 15
- density (Mg/m³) = 1.86
- volume (Å³/atom) = 72.12
- uncorrected energy (eV per atom) = -0.977

Unit cell a=6.6526 b=6.6526 c=26.0716 alpha=90.00 beta=90.00 gamma=90.00
Space group P4/mmm (No. 123)
Inequivalent atoms, fractional coordinates:
Rb 0.0000 0.0000 0.0000
Rb 0.0000 0.0000 0.2429
Rb 0.0000 0.0000 0.5000
Rb 0.0000 0.5000 0.1145
Rb 0.0000 0.5000 0.3714
Na 0.5000 0.5000 0.2435
Na 0.5000 0.5000 0.5000
Hg 0.5000 0.5000 0.0000

=====

[21]
Crystalline BaSr2LiO at its relaxed geometry, computed with PBE.

Values from the calculation:
- density (Mg/m³) = 3.44
- volume (Å³/atom) = 32.43
- uncorrected energy (eV per atom) = -3.410
- ΔE_f (raw) (eV/atom) = -0.9782

Unit cell a=5.1800 b=5.1800 c=6.0431 alpha=90.00 beta=90.00 gamma=90.00
Space group P4/mmm (No. 123)
Inequivalent atoms, fractional coordinates:
Ba 0.0000 0.0000 0.0000
Sr 0.0000 0.5000 0.5000
Li 0.5000 0.5000 0.0000
O 0.0000 0.0000 0.5000

=====

[22]
Crystalline Pm2Pu3Si4 at its relaxed geometry, computed with PBE.

Values from the calculation:
- density (Mg/m³) = 8.94
- volume (Å³/atom) = 23.40
- E above lowest polymorph (meV per atom) = 172
- uncorrected energy (eV per atom) = -8.596
- ΔE_f (raw) (eV/atom) = -0.3529

Unit cell a=6.0154 b=16.8881 c=8.2937 alpha=90.00 beta=90.00 gamma=90.00
Space group Cmce (No. 64)
Inequivalent atoms, fractional coordinates:
Pm 0.0000 0.1030 0.0858
Pu 0.0000 0.0000 0.5000
Pu 0.2500 0.2136 0.7500
Si 0.0000 0.1724 0.4430
Si 0.2500 0.0433 0.7500

=====

[23]
Crystalline K2BeCu2 at its relaxed geometry, computed with PBE.

Values from the calculation:
- DFT formation energy (meV/atom) = 595
- density (Mg/m³) = 2.55
- volume (Å³/atom) = 27.93
- E above lowest polymorph (meV per atom) = 21
- uncorrected energy (eV per atom) = -2.228

Unit cell a=6.4025 b=6.4025 c=6.8129 alpha=90.00 beta=90.00 gamma=90.00
Space group I4/mmm (No. 139)
Inequivalent atoms, fractional coordinates:
K 0.0000 0.5000 0.2500
Be 0.0000 0.0000 0.0000
Cu 0.0000 0.0000 0.3208

=====

[24]
Crystalline CaPaPdRh at its relaxed geometry, computed with PBE.

Values from the calculation:
- DFT formation energy (meV/atom) = -473
- density (Mg/m³) = 9.53
- volume (Å³/atom) = 20.94
- uncorrected energy (eV per atom) = -6.483

Unit cell a=6.9449 b=6.9449 c=6.9449 alpha=90.00 beta=90.00 gamma=90.00
Space group F-43m (No. 216)
Inequivalent atoms, fractional coordinates:
Ca 0.0000 0.0000 0.0000
Pa 0.0000 0.0000 0.5000
Pd 0.2500 0.2500 0.7500
Rh 0.2500 0.2500 0.2500